A relaxed FePO4 crystal. Source: Alexandria, functional GGA+U.

Cell lengths 6.268, 7.845, 9.306 Å; angles 105.65, 107.55, 101.18 degrees
Last column: magnetic moment on the atom in μB.
Sites, in units of the cell vectors:
O1 0.620 0.228 0.486  0.11
O2 0.574 0.637 0.726  0.14
O3 0.253 0.286 0.474  0.01
O4 0.799 0.817 0.068  0.10
Fe1 0.392 0.482 0.126  -1.02
P1 0.091 0.591 0.831  0.01
O5 0.206 0.934 0.705  0.04
O6 0.001 0.830 0.358  0.03
Fe2 0.052 0.712 0.516  -1.09
O7 0.756 0.713 0.532  0.01
P2 0.384 0.238 0.361  0.00
O8 0.454 0.256 0.772  0.12
O9 0.869 0.195 0.073  0.02
O10 0.252 0.051 0.219  0.06
O11 0.933 0.444 0.344  0.03
P3 0.909 0.400 0.164  0.00
O12 0.717 0.966 0.753  0.11
Fe3 0.701 0.184 0.695  4.34
O13 0.213 0.189 0.943  0.03
O14 0.685 0.456 0.084  0.08
O15 0.551 0.743 0.228  -0.01
O16 0.008 0.182 0.658  0.08
Fe4 0.953 0.284 0.476  -1.08
Fe5 0.630 0.559 0.901  4.36
P4 0.790 0.862 0.246  0.00
O17 0.461 0.388 0.296  0.00
P5 0.600 0.759 0.625  0.01
O18 0.314 0.544 0.921  0.08
Fe6 0.014 0.005 0.014  -1.12
P6 0.219 0.135 0.769  0.01
O19 0.095 0.786 0.909  0.02
O20 0.070 0.543 0.652  0.01
O21 0.116 0.527 0.151  0.02
O22 0.797 0.066 0.296  0.05
O23 0.360 0.740 0.505  0.02
O24 0.874 0.450 0.833  0.14

Results
Total moment (μB/atom): 0.164
Total DFT energy (no corrections) (eV per atom): -6.811